# 1
DFT (PBE) results for a geometry-optimized K2RbTlBr structure.

Unit cell a=6.3353 b=6.3353 c=6.6227 alpha=90.00 beta=90.00 gamma=90.00
Space group P4/mmm (No. 123)
Inequivalent atoms, fractional coordinates:
K  0.0000  0.5000  0.0000 (multiplicity 2)
Rb  0.0000  0.0000  0.5000 (multiplicity 1)
Tl  0.5000  0.5000  0.5000 (multiplicity 1)
Br  0.0000  0.0000  0.0000 (multiplicity 1)

Theoretical density (g/cm³): 2.8

# 2
DFT (PBE) results for a geometry-optimized KRbTl2Br8 structure.

Unit cell a=7.4648 b=7.4648 c=17.3059 alpha=90.00 beta=90.00 gamma=90.00
Space group I-4 (No. 82)
Inequivalent atoms, fractional coordinates:
K  0.0000  0.0000  0.0000 (multiplicity 2)
Rb  0.0000  0.5000  0.2500 (multiplicity 2)
Tl  0.0000  0.0000  0.5000 (multiplicity 2)
Tl  0.0000  0.5000  0.7500 (multiplicity 2)
Br  0.1541  0.7491  0.8349 (multiplicity 8)
Br  0.1613  0.2498  0.4180 (multiplicity 8)

Theoretical density (g/cm³): 4.0

# 3
DFT (PBE) results for a geometry-optimized K2RbTl3Br6 structure.

Unit cell a=20.8608 b=4.7935 c=9.5770 alpha=90.00 beta=102.92 gamma=90.00
Space group C2/m (No. 12)
Inequivalent atoms, fractional coordinates:
K  0.1684  0.0000  0.3358 (multiplicity 4)
Rb  0.0000  0.5000  0.0000 (multiplicity 2)
Tl  0.0000  0.5000  0.5000 (multiplicity 2)
Tl  0.1673  0.0000  0.8328 (multiplicity 4)
Br  0.0038  0.0000  0.2585 (multiplicity 4)
Br  0.1672  0.5000  0.5805 (multiplicity 4)
Br  0.1697  0.5000  0.0909 (multiplicity 4)

Theoretical density (g/cm³): 4.5

| no. | electronic total energy (hartree per atom) | DOS at the Fermi energy (states/eV per cell) |
| --- | --- | --- |
| 1 | -0.07388 | 3.7 |
| 2 | -0.09591 | 0.0 |
| 3 | -0.11008 | 0.0 |